This record from Alexandria describes a relaxed structure of SiGeRh4. The functional is PBE-GGA.

Structure (POSCAR):
```
SiGeRh4
1.0
6.324 0.000 0.000
0.000 3.847 0.000
0.000 0.000 14.044
Si Ge Rh
4 4 16
Cartesian
1.490 0.962 0.818 Si
1.673 2.885 7.840 Si
4.652 0.962 6.204 Si
4.835 2.885 13.226 Si
1.560 2.885 4.277 Ge
1.603 0.962 11.300 Ge
4.722 2.885 2.745 Ge
4.765 0.962 9.767 Ge
0.040 2.885 6.093 Rh
0.444 2.885 10.057 Rh
0.723 2.885 2.020 Rh
0.999 2.885 13.125 Rh
2.163 0.962 6.103 Rh
2.440 0.962 9.042 Rh
2.718 0.962 3.035 Rh
3.122 0.962 13.115 Rh
3.202 2.885 0.929 Rh
3.607 2.885 11.010 Rh
3.885 2.885 5.002 Rh
4.161 2.885 7.941 Rh
5.325 0.962 0.919 Rh
5.602 0.962 12.024 Rh
5.880 0.962 3.988 Rh
6.284 0.962 7.951 Rh
```

energy relative to the elements, uncorrected: -0.532 eV/atom
volume: 341.66 Å³/cell